[1]
The following is a DFT calculation (GGA-PBE) of a geometry-optimized Pm4PrBi5 structure.

Fermi-level density of states ... 0.2000 states/eV per atom
Space group ... No. 71
E ... -0.19345 Ha/atom
Formation energy from the elements ... -945.3 meV/atom
Volume ... 342.0 Å³/cell

Unit cell a=4.5949 b=6.4888 c=12.1410 alpha=105.50 beta=100.91 gamma=90.00
With the nearest neighbours (Å) after each atom.
Fractional coordinates of all 10 atoms:
Pm1 0.3999 0.3999 0.7998  6 Bi 3.24-3.25
Pm2 0.7993 0.7993 0.5986  6 Bi 3.23-3.24
Pm3 0.2007 0.2007 0.4014  6 Bi 3.23-3.24
Pm4 0.6001 0.6001 0.2002  6 Bi 3.24-3.25
Pr1 0.0000 0.0000 0.0000  6 Bi 3.24-3.27
Bi1 0.6015 0.1015 0.2029  4 Pm 3.23-3.24, 2 Pr 3.27
Bi2 0.8002 0.3002 0.6005  6 Pm 3.24
Bi3 0.1998 0.6998 0.3995  6 Pm 3.24
Bi4 0.0000 0.5000 0.0000  2 Pr 3.24, 4 Pm 3.25
Bi5 0.3985 0.8985 0.7971  4 Pm 3.23-3.24, 2 Pr 3.27

---

[2]
The following is a DFT calculation (GGA-PBE) of a geometry-optimized NaMgVCl6 structure.

Fermi-level density of states ... 1.1347 states/eV per atom
Space group ... No. 163
E ... -0.15156 Ha/atom
Formation energy without anion corrections ... -1.56 eV per atom
Volume ... 435.9 Å³/cell

Unit cell a=6.3538 b=6.3538 c=12.4676 alpha=90.00 beta=90.00 gamma=120.00
With the nearest neighbours (Å) after each atom.
Fractional coordinates of all 18 atoms:
Na1 0.0000 0.0000 0.0000  6 Cl 2.89
Na2 0.0000 0.0000 0.5000  6 Cl 2.89
Mg1 0.6667 0.3333 0.2500  6 Cl 2.51
Mg2 0.3333 0.6667 0.7500  6 Cl 2.51
V1 0.3333 0.6667 0.2500  6 Cl 2.40
V2 0.6667 0.3333 0.7500  6 Cl 2.40
Cl1 0.6304 0.6442 0.1394  1 V 2.40, 1 Mg 2.51
Cl2 0.0139 0.3696 0.1394  1 V 2.40, 1 Mg 2.51
Cl3 0.3696 0.0139 0.6394  1 V 2.40, 1 Mg 2.51
Cl4 0.9861 0.6304 0.8606  1 V 2.40, 1 Mg 2.51
Cl5 0.3558 0.3696 0.3606  1 V 2.40, 1 Mg 2.51
Cl6 0.0139 0.6442 0.3606  1 V 2.40, 1 Mg 2.51
Cl7 0.6442 0.0139 0.8606  1 V 2.40, 1 Mg 2.51
Cl8 0.6304 0.9861 0.3606  1 V 2.40, 1 Mg 2.51
Cl9 0.9861 0.3558 0.6394  1 V 2.40, 1 Mg 2.51
Cl10 0.3558 0.9861 0.1394  1 V 2.40, 1 Mg 2.51
Cl11 0.6442 0.6304 0.6394  1 V 2.40, 1 Mg 2.51
Cl12 0.3696 0.3558 0.8606  1 V 2.40, 1 Mg 2.51

---

[3]
The following is a DFT calculation (GGA-PBE) of a geometry-optimized CeUGaO6 structure.

Fermi-level density of states ... 0.7042 states/eV per atom
Space group ... No. 163
E ... -0.30809 Ha/atom
Formation energy without anion corrections ... -2.83 eV per atom
Volume ... 253.8 Å³/cell

Unit cell a=5.3773 b=5.3773 c=10.1346 alpha=90.00 beta=90.00 gamma=120.00
With the nearest neighbours (Å) after each atom.
Fractional coordinates of all 18 atoms:
Ce1 0.0000 0.0000 0.0000  6 O 2.35
Ce2 0.0000 0.0000 0.5000  6 O 2.35
U1 0.6667 0.3333 0.2500  6 O 2.13
U2 0.3333 0.6667 0.7500  6 O 2.13
Ga1 0.3333 0.6667 0.2500  6 O 2.03
Ga2 0.6667 0.3333 0.7500  6 O 2.03
O1 0.6421 0.6555 0.1386  1 Ga 2.03, 1 U 2.13
O2 0.0134 0.3579 0.1386  1 Ga 2.03, 1 U 2.13
O3 0.3579 0.0134 0.6386  1 Ga 2.03, 1 U 2.13
O4 0.9866 0.6421 0.8614  1 Ga 2.03, 1 U 2.13
O5 0.3445 0.3579 0.3614  1 Ga 2.03, 1 U 2.13
O6 0.0134 0.6555 0.3614  1 Ga 2.03, 1 U 2.13
O7 0.6555 0.0134 0.8614  1 Ga 2.03, 1 U 2.13
O8 0.6421 0.9866 0.3614  1 Ga 2.03, 1 U 2.13
O9 0.9866 0.3445 0.6386  1 Ga 2.03, 1 U 2.13
O10 0.3445 0.9866 0.1386  1 Ga 2.03, 1 U 2.13
O11 0.6555 0.6421 0.6386  1 Ga 2.03, 1 U 2.13
O12 0.3579 0.3445 0.8614  1 Ga 2.03, 1 U 2.13

---

[4]
The following is a DFT calculation (GGA-PBE) of a geometry-optimized Ac3Si2Ge7 structure.

Fermi-level density of states ... 0.4116 states/eV per atom
Space group ... No. 10
E ... -0.18239 Ha/atom
Formation energy without anion corrections ... -0.34 eV per atom
Volume ... 289.1 Å³/cell

Unit cell a=4.5747 b=4.7079 c=13.4367 alpha=92.69 beta=90.00 gamma=90.00
With the nearest neighbours (Å) after each atom.
Fractional coordinates of all 12 atoms:
Ac1 0.5000 0.5000 0.0000  12 Ge 3.22-3.43, 2 Si 3.48
Ac2 0.0000 0.1994 0.3660  2 Si 3.28, 10 Ge 3.37-3.49
Ac3 0.0000 0.8006 0.6340  2 Si 3.28, 10 Ge 3.37-3.49
Si1 0.5000 0.5784 0.2585  5 Ge 2.55-2.68
Si2 0.5000 0.4216 0.7415  5 Ge 2.55-2.68
Ge1 0.5000 0.7203 0.4453  1 Si 2.57, 1 Ge 2.60
Ge2 0.5000 0.2797 0.5547  1 Si 2.57, 1 Ge 2.60
Ge3 0.0000 0.6866 0.1820  2 Si 2.57, 2 Ge 2.86
Ge4 0.0000 0.0000 0.0000  2 Ge 2.91
Ge5 0.0000 0.3134 0.8180  2 Si 2.57, 2 Ge 2.86
Ge6 0.5000 0.9489 0.8259  2 Si 2.55-2.68
Ge7 0.5000 0.0511 0.1741  2 Si 2.55-2.68

---

[5]
The following is a DFT calculation (GGA-PBE) of a geometry-optimized GaAg3I2F6 structure.

Fermi-level density of states ... 0.4785 states/eV per atom
Space group ... No. 12
E ... -0.12860 Ha/atom
Formation energy without anion corrections ... -1.34 eV per atom
Volume ... 227.6 Å³/cell

Unit cell a=6.0186 b=6.2229 c=6.8371 alpha=117.07 beta=86.74 gamma=90.00
With the nearest neighbours (Å) after each atom.
Fractional coordinates of all 12 atoms:
Ga1 0.5000 0.0000 0.0000  6 F 1.89-1.96
Ag1 0.0000 0.5000 0.0000  2 I 2.74, 4 F 2.75
Ag2 0.5000 0.5000 0.5000  4 F 2.31-2.55
Ag3 0.5000 0.0000 0.5000  4 F 2.31-2.55
I1 0.1195 0.7132 0.4264  3 Ag 2.74-2.83
I2 0.8805 0.2868 0.5736  3 Ag 2.74-2.83
F1 0.6640 0.2989 0.1469  1 Ga 1.96
F2 0.3360 0.7011 0.8531  1 Ga 1.96
F3 0.7039 0.8750 0.7501  1 Ga 1.89
F4 0.2961 0.1250 0.2499  1 Ga 1.89
F5 0.3360 0.1520 0.8531  1 Ga 1.96
F6 0.6640 0.8480 0.1469  1 Ga 1.96

---

[6]
The following is a DFT calculation (GGA-PBE) of a geometry-optimized TcNi2Te structure.

Fermi-level density of states ... 1.4974 states/eV per atom
Space group ... No. 123
E ... -0.21896 Ha/atom
Formation energy without anion corrections ... 0.31 eV per atom
Volume ... 59.1 Å³/cell

Unit cell a=3.3107 b=3.3107 c=5.3927 alpha=90.00 beta=90.00 gamma=90.00
With the nearest neighbours (Å) after each atom.
Fractional coordinates of all 4 atoms:
Ni1 0.0000 0.0000 0.0181  1 Ni 2.50, 4 Tc 2.65, 4 Te 2.75
Ni2 0.0000 0.0000 0.4819  1 Ni 2.50, 4 Tc 2.65, 4 Te 2.75
Tc1 0.5000 0.5000 0.2500  8 Ni 2.65, 2 Te 2.70
Te1 0.5000 0.5000 0.7500  2 Tc 2.70, 8 Ni 2.75

---

[7]
The following is a DFT calculation (GGA-PBE) of a geometry-optimized HfHgPt3 structure.

Fermi-level density of states ... 0.8154 states/eV per atom
Space group ... No. 221
E ... -0.16852 Ha/atom
Formation energy from the elements ... 1090.0 meV/atom
Volume ... 118.9 Å³/cell
Polymorph energy (0 for the lowest one) ... 470 meV per atom

Unit cell a=4.9175 b=4.9175 c=4.9175 alpha=90.00 beta=90.00 gamma=90.00
With the nearest neighbours (Å) after each atom.
Fractional coordinates of all 5 atoms:
Hf1 0.5000 0.5000 0.5000  12 Pt 3.48
Hg1 0.0000 0.0000 0.0000  6 Pt 2.46
Pt1 0.0000 0.5000 0.0000  2 Hg 2.46
Pt2 0.0000 0.0000 0.5000  2 Hg 2.46
Pt3 0.5000 0.0000 0.0000  2 Hg 2.46

---

[8]
The following is a DFT calculation (GGA-PBE) of a geometry-optimized Y2Hf2S7 structure.

Fermi-level density of states ... 0.0311 states/eV per atom
Space group ... No. 44
E ... -0.26661 Ha/atom
Formation energy without anion corrections ... -1.64 eV per atom
Volume ... 215.9 Å³/cell

Unit cell a=3.7439 b=8.3362 c=8.3362 alpha=59.21 beta=77.02 gamma=77.02
With the nearest neighbours (Å) after each atom.
Fractional coordinates of all 11 atoms:
Y1 0.0000 0.7876 0.2124  8 S 2.63-2.90
Y2 0.5000 0.3207 0.6793  7 S 2.54-2.84
Hf1 0.7450 0.8431 0.6668  7 S 2.58-2.78
Hf2 0.2550 0.3332 0.1569  7 S 2.58-2.78
S1 0.8126 0.0835 0.2913  3 Hf 2.58-2.71, 1 Y 2.77
S2 0.8497 0.4299 0.8707  3 Hf 2.78-2.93, 2 Y 2.84, 2 S 3.10
S3 0.5000 0.0120 0.9880  3 Y 2.54-2.63
S4 0.6152 0.4878 0.2819  2 Hf 2.71, 3 Y 2.83-2.90
S5 0.3848 0.7181 0.5122  2 Hf 2.71, 3 Y 2.83-2.90
S6 0.1874 0.7087 0.9165  3 Hf 2.58-2.71, 1 Y 2.77
S7 0.1503 0.1293 0.5701  3 Hf 2.78-2.93, 2 Y 2.84, 2 S 3.10

---

[9]
The following is a DFT calculation (GGA-PBE) of a geometry-optimized PmPrEr4 structure.

Fermi-level density of states ... 1.7520 states/eV per atom
Space group ... No. 63
E ... -0.16331 Ha/atom
Formation energy from the elements ... 186.5 meV/atom
Volume ... 398.2 Å³/cell
Polymorph energy (0 for the lowest one) ... 167 meV per atom

Unit cell a=5.8341 b=9.1183 c=10.3472 alpha=105.09 beta=90.01 gamma=129.75
With the nearest neighbours (Å) after each atom.
Fractional coordinates of all 12 atoms:
Pm1 0.3032 0.5532 0.1064  2 Pr 3.51, 8 Er 3.51-3.67, 2 Pm 3.58
Pm2 0.6968 0.4468 0.8936  2 Pr 3.51, 8 Er 3.51-3.67, 2 Pm 3.58
Pr1 0.8035 0.0535 0.1071  2 Pm 3.51, 8 Er 3.51-3.68, 2 Pr 3.59
Pr2 0.1965 0.9465 0.8929  2 Pm 3.51, 8 Er 3.51-3.68, 2 Pr 3.59
Er1 0.2909 0.0409 0.5809  7 Er 3.31-3.51, 1 Pr 3.51, 1 Pm 3.51
Er2 0.1121 0.8621 0.2253  5 Er 3.46-3.51, 3 Pm 3.59-3.67, 3 Pr 3.59-3.68
Er3 0.2100 0.4600 0.4191  7 Er 3.31-3.51, 1 Pr 3.51, 1 Pm 3.51
Er4 0.3868 0.6368 0.7747  5 Er 3.46-3.51, 3 Pm 3.59-3.67, 3 Pr 3.59-3.68
Er5 0.7091 0.9591 0.4191  7 Er 3.31-3.51, 1 Pr 3.51, 1 Pm 3.51
Er6 0.7900 0.5400 0.5809  7 Er 3.31-3.51, 1 Pr 3.51, 1 Pm 3.51
Er7 0.8879 0.1379 0.7747  5 Er 3.46-3.51, 3 Pm 3.59-3.67, 3 Pr 3.59-3.68
Er8 0.6132 0.3632 0.2253  5 Er 3.46-3.51, 3 Pm 3.59-3.67, 3 Pr 3.59-3.68

---

[10]
The following is a DFT calculation (GGA-PBE) of a geometry-optimized Cs4Cd4Au structure.

Fermi-level density of states ... 0.6298 states/eV per atom
Space group ... No. 86
E ... -0.04577 Ha/atom
Formation energy from the elements ... -95.2 meV/atom
Volume ... 880.9 Å³/cell

Unit cell a=7.2102 b=11.0535 c=11.0535 alpha=90.00 beta=90.00 gamma=90.00
With the nearest neighbours (Å) after each atom.
Fractional coordinates of all 18 atoms:
Cs1 0.3505 0.4378 0.7976  1 Au 3.53, 2 Cd 3.94-3.95
Cs2 0.8505 0.7024 0.9378  1 Au 3.53, 2 Cd 3.94-3.95
Cs3 0.3505 0.5622 0.2024  1 Au 3.53, 2 Cd 3.94-3.95
Cs4 0.1495 0.0622 0.7024  1 Au 3.53, 2 Cd 3.94-3.95
Cs5 0.6495 0.7976 0.5622  1 Au 3.53, 2 Cd 3.94-3.95
Cs6 0.1495 0.9378 0.2976  1 Au 3.53, 2 Cd 3.94-3.95
Cs7 0.8505 0.2976 0.0622  1 Au 3.53, 2 Cd 3.94-3.95
Cs8 0.6495 0.2024 0.4378  1 Au 3.53, 2 Cd 3.94-3.95
Cd1 0.6582 0.9651 0.1429  1 Au 2.95, 3 Cd 3.24-3.25
Cd2 0.6582 0.0349 0.8571  1 Au 2.95, 3 Cd 3.24-3.25
Cd3 0.1582 0.6429 0.5349  1 Au 2.95, 3 Cd 3.24-3.25
Cd4 0.8418 0.4651 0.6429  1 Au 2.95, 3 Cd 3.24-3.25
Cd5 0.8418 0.5349 0.3571  1 Au 2.95, 3 Cd 3.24-3.25
Cd6 0.3418 0.1429 0.0349  1 Au 2.95, 3 Cd 3.24-3.25
Cd7 0.3418 0.8571 0.9651  1 Au 2.95, 3 Cd 3.24-3.25
Cd8 0.1582 0.3571 0.4651  1 Au 2.95, 3 Cd 3.24-3.25
Au1 0.0000 0.0000 0.0000  4 Cd 2.95
Au2 0.5000 0.5000 0.5000  4 Cd 2.95

---

[11]
The following is a DFT calculation (GGA-PBE) of a geometry-optimized Tb3ErPt2 structure.

Fermi-level density of states ... 1.0016 states/eV per atom
Space group ... No. 26
E ... -0.22165 Ha/atom
Formation energy from the elements ... -942.1 meV/atom
Volume ... 302.5 Å³/cell

Unit cell a=4.7765 b=7.1663 c=8.8366 alpha=90.00 beta=90.00 gamma=90.00
With the nearest neighbours (Å) after each atom.
Fractional coordinates of all 12 atoms:
Tb1 0.0000 0.4916 0.9162  3 Pt 2.83-3.05
Tb2 0.0000 0.9916 0.0838  3 Pt 2.83-3.05
Tb3 0.5000 0.6440 0.1689  4 Pt 2.90-2.98
Tb4 0.5000 0.1440 0.8311  4 Pt 2.90-2.98
Tb5 0.0000 0.3557 0.3334  4 Pt 2.90-2.96
Tb6 0.0000 0.8557 0.6666  4 Pt 2.90-2.96
Er1 0.5000 0.5082 0.5839  3 Pt 2.81-3.04
Er2 0.5000 0.0082 0.4161  3 Pt 2.81-3.04
Pt1 0.5000 0.7398 0.8409  1 Er 2.81, 6 Tb 2.90-3.05
Pt2 0.5000 0.2398 0.1591  1 Er 2.81, 6 Tb 2.90-3.05
Pt3 0.0000 0.2607 0.6563  5 Tb 2.83-2.96, 2 Er 3.04
Pt4 0.0000 0.7607 0.3437  5 Tb 2.83-2.96, 2 Er 3.04

---

[12]
The following is a DFT calculation (GGA-PBE) of a geometry-optimized Fe2CuRu structure.

Fermi-level density of states ... 1.1471 states/eV per atom
Space group ... No. 6
E ... -0.27050 Ha/atom
Formation energy from the elements ... 213.5 meV/atom
Volume ... 50.5 Å³/cell
Polymorph energy (0 for the lowest one) ... 50 meV per atom

Unit cell a=4.1508 b=2.5136 c=4.9126 alpha=80.08 beta=90.00 gamma=90.00
With the nearest neighbours (Å) after each atom.
Fractional coordinates of all 4 atoms:
Cu1 0.5000 0.8124 0.7564  5 Fe 2.48-2.76, 2 Cu 2.51, 2 Ru 2.64
Fe1 0.0000 0.9883 0.0027  2 Cu 2.48, 4 Fe 2.51, 2 Ru 2.54-2.58
Fe2 0.5000 0.2170 0.2440  4 Fe 2.51, 3 Cu 2.55-2.76, 2 Ru 2.57
Ru1 0.0000 0.4823 0.4969  2 Ru 2.51, 4 Fe 2.54-2.58, 2 Cu 2.64